1.
Compound: Si4RuAu
Source: Alexandria via LeMat-Bulk
Functional: PBE
Structure: relaxed

Cell lengths 5.006, 5.006, 5.006 Å; angles 60.00, 60.00, 60.00 degrees
Positions (direct):
Si: 0.374 0.878 0.374
Ru: 0.000 0.000 0.000
Au: 0.750 0.750 0.750
Si: 0.374 0.374 0.374
Si: 0.878 0.374 0.374
Si: 0.374 0.374 0.878

Results
- Volume: 89 Å³ per cell
- Energy: -5.2197 eV per atom
- E_form (uncorrected): 0.4879 eV/atom
- Space-group type: F-43m, No. 216
- Size of the total moment: 0.000 μB per cell
- Crystal system: cubic



2.
Compound: SiSnRuAu2
Source: Alexandria via LeMat-Bulk
Functional: PBE
Structure: relaxed

Cell lengths 5.083, 5.041, 5.083 Å; angles 90.00, 90.00, 90.00 degrees
Positions (direct):
Si: 0.000 0.500 0.000
Ru: 0.500 0.500 0.500
Au: 0.000 0.000 0.500
Au: 0.500 0.000 0.000
Sn: 0.000 0.000 0.000

Results
- Volume: 130 Å³ per cell
- Energy: -3.5764 eV per atom
- E_form (uncorrected): 1.4749 eV/atom
- Space-group type: P4/mmm, No. 123
- Size of the total moment: 2.400 μB per cell
- Crystal system: tetragonal



3.
Compound: YSiRuAu2
Source: Alexandria via LeMat-Bulk
Functional: PBE
Structure: relaxed

Cell lengths 5.106, 4.372, 5.106 Å; angles 90.00, 90.00, 90.00 degrees
Positions (direct):
Au: 0.500 0.000 0.000
Au: 0.000 0.000 0.500
Y: 0.500 0.500 0.500
Si: 0.000 0.500 0.000
Ru: 0.000 0.000 0.000

Results
- Volume: 114 Å³ per cell
- Energy: -5.4767 eV per atom
- E_form (uncorrected): 0.0668 eV/atom
- Space-group type: P4/mmm, No. 123
- Size of the total moment: 0.000 μB per cell
- Crystal system: tetragonal



- The highest energy belongs to which entry?
  SiSnRuAu2